{"formula": "TcSnSbBrF", "functional": "PBE-GGA", "state": "optimized geometry", "sg": "P1", "m_tot_mub_per_atom": 0.000, "final_energy_ev_per_atom": -4.943, "raw_formation_energy_mev_per_atom": -536, "e_above_lowest_polymorph_mev_per_atom": 53.0, "lattice_angstrom": [[3.2421, 0.0000, 0.0000], [1.6138, 4.8360, 0.0000], [0.0351, 2.2410, 8.0523]], "species": ["Sb", "Tc", "Br", "Sn", "F"], "frac_coords": [[0.3432, 0.6192, 0.2266], [0.3944, 0.5054, 0.5543], [0.9665, 0.3550, 0.7942], [0.6604, 0.9757, 0.5063], [0.5680, 0.1663, 0.2212]]}